[1]
Compound: TiAu
Source: Alexandria
Functional: PBE
Structure: relaxed

Lattice parameters (Å, degrees): 10.957 10.957 2.775 90.00 90.00 90.00
Atoms (fractional coordinates):
Ti  0.285  0.852  0.000
Ti  0.715  0.148  0.000
Ti  0.148  0.285  0.000
Ti  0.852  0.715  0.000
Ti  0.785  0.352  0.500
Ti  0.215  0.648  0.500
Ti  0.648  0.785  0.500
Ti  0.352  0.215  0.500
Au  0.548  0.317  0.000
Au  0.452  0.683  0.000
Au  0.683  0.548  0.000
Au  0.317  0.452  0.000
Au  0.048  0.817  0.500
Au  0.952  0.183  0.500
Au  0.183  0.048  0.500
Au  0.817  0.952  0.500

Computed properties:
SG = No. 87
Crystal system = tetragonal
ΔE_f = 0.0455 eV/atom


[2]
Compound: TaNi2Mo
Source: Alexandria
Functional: PBE
Structure: relaxed

Lattice parameters (Å, degrees): 6.027 4.658 2.706 90.25 62.88 120.96
Atoms (fractional coordinates):
Mo  0.500  0.500  0.000
Ni  0.000  0.000  0.000
Ni  0.500  0.000  0.500
Ta  0.000  0.500  0.500

Computed properties:
Energy relative to the lowest polymorph listed for this composition = 0.12 eV per formula unit
SG = No. 12
Crystal system = monoclinic
ΔE_f = -0.1011 eV/atom


[3]
Compound: Y2Sc2Mn
Source: Alexandria
Functional: PBE
Structure: relaxed

Lattice parameters (Å, degrees): 6.837 6.837 5.382 90.00 90.00 90.00
Each line ends with the local moment (μB).
Atoms (fractional coordinates):
Y  0.171  0.671  0.500  -0.15
Y  0.671  0.829  0.500  -0.14
Y  0.829  0.329  0.500  -0.15
Y  0.329  0.171  0.500  -0.14
Sc  0.344  0.844  0.000  -0.21
Sc  0.844  0.656  0.000  -0.22
Sc  0.656  0.156  0.000  -0.21
Sc  0.156  0.344  0.000  -0.21
Mn  0.000  0.000  0.000  2.40
Mn  0.500  0.500  0.000  2.40

Computed properties:
SG = No. 127
Crystal system = tetragonal
ΔE_f = 0.2633 eV/atom


[4]
Compound: NpRhSe3
Source: Alexandria
Functional: PBE
Structure: relaxed

Lattice parameters (Å, degrees): 4.028 6.039 10.557 106.62 90.00 90.00
Each line ends with the local moment (μB).
Atoms (fractional coordinates):
Np  0.250  0.037  0.678  3.34
Np  0.750  0.359  0.322  3.34
Rh  0.250  0.873  0.336  0.06
Rh  0.750  0.537  0.664  0.06
Se  0.750  0.946  0.833  -0.10
Se  0.750  0.691  0.195  -0.06
Se  0.750  0.104  0.502  -0.07
Se  0.250  0.497  0.805  -0.06
Se  0.250  0.113  0.167  -0.10
Se  0.250  0.602  0.498  -0.07

Computed properties:
Formation energy without anion corrections = -0.69 eV/atom
SG = No. 40
Crystal system = orthorhombic


[5]
Compound: Ca3YTh2As6
Source: Alexandria
Functional: PBE
Structure: relaxed

Lattice parameters (Å, degrees): 7.384 7.384 7.327 99.67 99.67 120.01
Atoms (fractional coordinates):
Ca  0.167  0.833  0.500
Ca  0.833  0.167  0.500
Ca  0.500  0.500  0.500
Y  0.000  0.000  0.000
Th  0.333  0.667  0.000
Th  0.667  0.333  0.000
As  0.920  0.589  0.759
As  0.749  0.749  0.241
As  0.080  0.411  0.241
As  0.589  0.920  0.759
As  0.251  0.251  0.759
As  0.411  0.080  0.241

Computed properties:
SG = No. 12
Crystal system = monoclinic
ΔE_f = -1.3041 eV/atom


[6]
Compound: TlGe2Se3
Source: Alexandria
Functional: PBE
Structure: relaxed

Lattice parameters (Å, degrees): 3.744 7.872 11.132 90.00 90.00 90.00
Atoms (fractional coordinates):
Tl  0.000  0.994  0.866
Tl  0.000  0.494  0.134
Ge  0.000  0.005  0.229
Ge  0.500  0.070  0.519
Ge  0.000  0.505  0.771
Ge  0.500  0.570  0.481
Se  0.500  0.139  0.097
Se  0.500  0.268  0.701
Se  0.000  0.225  0.400
Se  0.500  0.639  0.903
Se  0.500  0.768  0.299
Se  0.000  0.725  0.600

Computed properties:
Formation energy without anion corrections = -0.24 eV/atom
SG = No. 26
Crystal system = orthorhombic


[7]
Compound: RbTa2OF
Source: Alexandria
Functional: PBE
Structure: relaxed

Lattice parameters (Å, degrees): 4.036 4.036 7.901 90.00 90.00 90.00
Atoms (fractional coordinates):
F  0.000  0.000  0.500
O  0.000  0.000  0.000
Rb  0.500  0.500  0.500
Ta  0.000  0.500  0.000
Ta  0.500  0.000  0.000

Computed properties:
Formation energy without anion corrections = -0.69 eV/atom
SG = No. 123
Crystal system = tetragonal


[8]
Compound: Mg2TaAlN4
Source: Alexandria
Functional: PBE
Structure: relaxed

Lattice parameters (Å, degrees): 5.207 5.863 6.621 90.00 90.00 90.00
Atoms (fractional coordinates):
Mg  0.489  0.332  0.250
Mg  0.489  0.332  0.750
Mg  0.989  0.668  0.750
Mg  0.989  0.668  0.250
Ta  0.495  0.841  0.500
Ta  0.995  0.159  0.000
Al  0.997  0.167  0.500
Al  0.497  0.833  0.000
N  0.368  0.138  0.000
N  0.868  0.862  0.500
N  0.362  0.150  0.500
N  0.862  0.850  0.000
N  0.400  0.682  0.754
N  0.900  0.318  0.254
N  0.900  0.318  0.746
N  0.400  0.682  0.246

Computed properties:
Formation energy without anion corrections = -1.14 eV/atom
SG = No. 31
Crystal system = orthorhombic


| no. | total energy (eV per cell) | Fermi-level density of states (states/eV/f.u.) |
| --- | --- | --- |
| 1 | -88.65 | 2.18 |
| 2 | -34.65 | 2.88 |
| 3 | -66.89 | 11.35 |
| 4 | -68.37 | 9.59 |
| 5 | -70.86 | 8.52 |
| 6 | -46.95 | 1.71 |
| 7 | -34.97 | 2.69 |
| 8 | -122.45 | 0.00 |